AcNd2CoAg | PBE-GGA | optimized geometry

The structure in extended XYZ format:
```
5
Lattice="-0.831 4.950 1.713 -5.150 -1.090 0.649 1.018 -1.660 5.289" Properties=species:S:1:pos:R:3 pbc="T T T"
Ag -2.398 0.963 4.263
Nd -1.592 -2.148 5.434
Nd -4.582 -0.218 6.616
Co 0.001 -0.002 0.007
Ac -4.657 -1.893 3.209
```

Results
The size of the total moment comes out at 0.0 Bohr magnetons per cell. The value obtained for the calculated total energy is -4.699 eV per atom.